(1)
Density functional theory data (PBE) for AcNdSi2Pt2 after structural relaxation.

```
6
Lattice="4.2260 0.0000 0.0000 -2.1130 3.6599 0.0000 0.0000 0.0000 8.8318" Properties=species:S:1:pos:R:3 pbc="T T T"
Si 2.1130 1.2200 6.5039
Si 0.0000 2.4399 2.3279
Nd 0.0000 0.0000 4.4159
Pt 2.1130 1.2200 2.3011
Pt 0.0000 2.4399 6.5307
Ac 0.0000 0.0000 0.0000
```

Values from the calculation:
- SG = P-3m1
- uncorrected energy (eV/atom) = -6.394
- formation energy from raw total energies (eV per formula unit) = -6.56
- spin magnetization (μB per cell) = 0.00

=====

(2)
Density functional theory data (PBE) for Ca2RuPb after structural relaxation.

```
4
Lattice="-2.8488 -4.3951 -2.7949 -0.7370 -5.7364 1.3392 -4.8196 -3.1535 1.4387" Properties=species:S:1:pos:R:3 pbc="T T T"
Pb -3.8716 -6.1191 -0.0078
Ca -0.1419 -0.2243 -0.0003
Ca -1.8986 -3.0008 -0.0038
Ru -6.6960 -10.5832 -0.0135
```

Values from the calculation:
- E_form (eV/atom) = 0.0014
- SG = R3m
- uncorrected energy (eV/atom) = -4.245
- spin magnetization (μB per cell) = 0.00

=====

(3)
Density functional theory data (PBE) for MgMnTl after structural relaxation.

```
3
Lattice="4.6032 0.0000 0.0000 2.3016 3.9865 0.0000 2.3016 1.3288 3.7585" Properties=species:S:1:pos:R:3 pbc="T T T"
Mg 4.6032 2.6576 1.8792
Tl 0.0000 0.0000 0.0000
Mn 6.9048 3.9865 2.8189
```

Values from the calculation:
- E_form (eV/atom) = 0.4057
- SG = F-43m
- uncorrected energy (eV/atom) = -3.971
- spin magnetization (μB per cell) = 3.49

=====

(4)
Density functional theory data (PBE) for NdMnPdPt after structural relaxation.

```
4
Lattice="-0.2331 -3.7532 3.0107 -1.7143 -4.2271 -1.5485 2.9792 -3.7409 -0.5791" Properties=species:S:1:pos:R:3 pbc="T T T"
Pd 0.2579 -2.9303 0.2208
Pt 0.7738 -8.7909 0.6623
Nd 0.0000 0.0000 0.0000
Mn 0.5159 -5.8606 0.4415
```

Values from the calculation:
- E_form (eV/atom) = -0.4954
- SG = F-43m
- uncorrected energy (eV/atom) = -6.788
- spin magnetization (μB per cell) = 4.70